1.
The following is a PBE calculation of a relaxed structure of Pm2YHo2Tm2, from the Alexandria database.

```
Pm2YHo2Tm2
1.0
8.7917 -1.7436 0.0000
8.7917 1.7436 0.0000
-3.8224 0.0000 7.5072
Pm Y Ho Tm
2 1 2 2
Direct
0.1491 0.1491 0.3866
0.8509 0.8509 0.6134
0.5000 0.5000 0.5000
0.0704 0.0704 0.9064
0.9296 0.9296 0.0936
0.2893 0.2893 0.1998
0.7107 0.7107 0.8002
```

**Formation energy from the elements**: 0.15 eV/atom
**Size of the total moment**: 0.00 μB/cell

---

2.
The following is a PBE calculation of a relaxed structure of Ba2Li3SmSb4, from the Alexandria database.

```
Ba2Li3SmSb4
1.0
4.9586 0.0000 0.0000
0.0000 4.9586 0.0000
0.0000 0.0000 12.0859
Ba Li Sm Sb
2 3 1 4
Direct
0.0000 0.5000 0.2187
0.5000 0.0000 0.7813
0.0000 0.5000 0.8842
0.5000 0.0000 0.1158
0.5000 0.5000 0.5000
0.0000 0.0000 0.5000
0.0000 0.0000 0.0000
0.0000 0.5000 0.6488
0.5000 0.0000 0.3512
0.5000 0.5000 0.0000
```

**Uncorrected formation energy**: -835.8 meV per atom
**Size of the total moment**: 0.23 μB/cell

---

3.
The following is a PBE calculation of a relaxed structure of YNiSb2, from the Alexandria database.

```
YNiSb2
1.0
2.0500 1.1836 6.3836
-2.0500 1.1836 6.3836
0.0000 -2.3672 6.3836
Y Ni Sb
1 1 2
Direct
0.0000 0.0000 0.0000
0.8242 0.8242 0.8242
0.2244 0.2244 0.2244
0.4351 0.4351 0.4351
```

**Uncorrected formation energy**: -457.2 meV per atom
**Size of the total moment**: 0.00 μB/cell

---

4.
The following is a PBE calculation of a relaxed structure of CdTcNiRu2, from the Alexandria database.

```
CdTcNiRu2
1.0
4.8167 0.0000 0.0000
0.0000 4.8167 0.0000
0.0000 0.0000 4.4624
Cd Tc Ni Ru
1 1 1 2
Direct
0.0000 0.0000 0.0000
0.5000 0.5000 0.5000
0.0000 0.0000 0.5000
0.0000 0.5000 0.0000
0.5000 0.0000 0.0000
```

**Formation energy from the elements**: 2.36 eV/atom
**Size of the total moment**: 4.95 μB/cell

---

5.
The following is a PBE calculation of a relaxed structure of CoMoAs, from the Alexandria database.

```
CoMoAs
1.0
2.8265 0.0000 0.0000
-1.4132 2.4478 0.0000
0.0000 0.0000 6.1447
Co Mo As
1 1 1
Direct
0.0000 0.0000 0.0000
0.6667 0.3333 0.3275
0.3333 0.6667 0.6928
```

**Formation energy from the elements**: 0.19 eV/atom
**Size of the total moment**: 0.49 μB/cell

---

6.
The following is a PBE calculation of a relaxed structure of TaReRh2, from the Alexandria database.

```
TaReRh2
1.0
3.2735 0.0000 0.0000
0.0000 3.2735 0.0000
0.0000 0.0000 5.7907
Ta Re Rh
1 1 2
Direct
0.0000 0.0000 0.0000
0.5000 0.5000 0.2833
0.0000 0.0000 0.4939
0.5000 0.5000 0.7708
```

**E above lowest polymorph**: 212.3 meV per atom
**Formation energy from the elements**: -0.16 eV/atom
**Size of the total moment**: 0.00 μB/cell

---

7.
The following is a PBE calculation of a relaxed structure of Tb5Nd4Mg2, from the Alexandria database.

```
Tb5Nd4Mg2
1.0
8.9059 -1.7484 0.0000
8.9059 1.7484 0.0000
-0.6218 0.0000 11.5722
Tb Nd Mg
5 4 2
Direct
0.0000 0.0000 0.0000
0.2880 0.2880 0.6168
0.3244 0.3244 0.9202
0.6756 0.6756 0.0798
0.7120 0.7120 0.3832
0.1433 0.1433 0.8111
0.4763 0.4763 0.7226
0.5237 0.5237 0.2774
0.8567 0.8567 0.1889
0.0904 0.0904 0.5313
0.9096 0.9096 0.4687
```

**E above lowest polymorph**: 58.8 meV per atom
**Formation energy from the elements**: 0.13 eV/atom
**Size of the total moment**: 0.00 μB/cell

---

8.
The following is a PBE calculation of a relaxed structure of AuBr8Cl5, from the Alexandria database.

```
AuBr8Cl5
1.0
-6.1448 6.1448 4.2103
6.1448 -6.1448 4.2103
6.1448 6.1448 -4.2103
Au Br Cl
1 8 5
Direct
0.0000 0.0000 0.0000
0.0332 0.1856 0.2364
0.0769 0.5322 0.7634
0.2032 0.9668 0.1524
0.4678 0.2312 0.5447
0.6866 0.9231 0.4553
0.7688 0.3134 0.2366
0.8144 0.0508 0.8476
0.9492 0.7968 0.7636
0.2559 0.2372 0.5875
0.3316 0.7441 0.9813
0.6497 0.6684 0.4125
0.7500 0.2500 0.5000
0.7628 0.3503 0.0187
```

**Uncorrected formation energy**: 19.2 meV per atom
**Size of the total moment**: 0.00 μB/cell

---

9.
The following is a PBE calculation of a relaxed structure of CsNaTe2I, from the Alexandria database.

```
CsNaTe2I
1.0
6.5183 0.0000 0.0000
0.0000 6.5183 0.0000
0.0000 0.0000 7.1760
Cs Na Te I
1 1 2 1
Direct
0.0000 0.0000 0.0000
0.5000 0.5000 0.5000
0.0000 0.5000 0.0000
0.5000 0.0000 0.0000
0.0000 0.0000 0.5000
```

**E above lowest polymorph**: 528.0 meV per atom
**Uncorrected formation energy**: 149.2 meV per atom
**Size of the total moment**: 1.65 μB/cell

---

10.
The following is a PBE calculation of a relaxed structure of TiMn2In2, from the Alexandria database.

```
TiMn2In2
1.0
7.7203 0.0000 0.0000
0.0000 7.7203 0.0000
0.0000 0.0000 2.9679
Ti Mn In
2 4 4
Direct
0.0000 0.0000 0.0000
0.5000 0.5000 0.0000
0.1182 0.3818 0.0000
0.3818 0.8818 0.0000
0.6182 0.1182 0.0000
0.8818 0.6182 0.0000
0.1779 0.6779 0.5000
0.3221 0.1779 0.5000
0.6779 0.8221 0.5000
0.8221 0.3221 0.5000
```

**E above lowest polymorph**: 0.0 meV per atom
**Formation energy from the elements**: 0.26 eV/atom
**Size of the total moment**: 10.58 μB/cell

---

11.
The following is a PBE calculation of a relaxed structure of MoIr2Rh, from the Alexandria database.

```
MoIr2Rh
1.0
0.0000 3.1120 3.1120
3.1120 0.0000 3.1120
3.1120 3.1120 0.0000
Mo Ir Rh
1 2 1
Direct
0.0000 0.0000 0.0000
0.5000 0.5000 0.5000
0.7500 0.7500 0.7500
0.2500 0.2500 0.2500
```

**E above lowest polymorph**: 483.5 meV per atom
**Formation energy from the elements**: 0.24 eV/atom
**Size of the total moment**: 0.00 μB/cell

---

12.
The following is a PBE calculation of a relaxed structure of Be3CdFe, from the Alexandria database.

```
Be3CdFe
1.0
4.0322 0.0000 0.0000
0.0000 4.0322 0.0000
0.0000 0.0000 4.0322
Be Cd Fe
3 1 1
Direct
0.0000 0.0000 0.5000
0.0000 0.5000 0.0000
0.5000 0.0000 0.0000
0.5000 0.5000 0.5000
0.0000 0.0000 0.0000
```

**E above lowest polymorph**: 0.0 meV per atom
**Formation energy from the elements**: 0.67 eV/atom
**Size of the total moment**: 0.00 μB/cell